Entry 1
First-principles (PBE-GGA) data for a relaxed structure of TiRhSe2Br, as listed in Alexandria.

Computed properties:
Space group ... No. 123
Size of the total moment ... 0.12 μB/f.u.
V ... 24.40 Å³ per atom

a = 5.176 Å, b = 4.553 Å, c = 5.176 Å
α = 90.00°, β = 90.00°, γ = 90.00°
Site moments in Bohr magnetons follow the coordinates.
Atoms (fractional coordinates):
Se1 0.000 0.000 0.500  -0.03
Br1 0.000 0.000 0.000  -0.01
Ti1 0.500 0.500 0.500  0.29
Rh1 0.000 0.500 0.000  -0.13
Se2 0.500 0.000 0.000  -0.04

=====

Entry 2
First-principles (PBE-GGA) data for a relaxed structure of TiRhSe2Br, as listed in Alexandria.

Computed properties:
Space group ... No. 123
Size of the total moment ... 1.71 μB/f.u.
V ... 24.30 Å³ per atom

a = 4.900 Å, b = 4.900 Å, c = 5.060 Å
α = 90.00°, β = 90.00°, γ = 90.00°
Site moments in Bohr magnetons follow the coordinates.
Atoms (fractional coordinates):
Se1 0.500 0.000 0.000  0.06
Br1 0.000 0.000 0.500  0.06
Ti1 0.000 0.000 0.000  -0.04
Rh1 0.500 0.500 0.500  1.45
Se2 0.000 0.500 0.000  0.06

=====

Which of them is most stable, and which least? Most stable: entry 2; least stable: entry 1.

=====

Entry 1
First-principles (PBE-GGA) data for a relaxed structure of YRhSe2Br, as listed in Alexandria.

Computed properties:
Space group ... No. 123
Size of the total moment ... 0.00 μB/f.u.
V ... 23.93 Å³ per atom

a = 4.978 Å, b = 4.978 Å, c = 4.828 Å
α = 90.00°, β = 90.00°, γ = 90.00°
Atoms (fractional coordinates):
Br1 0.000 0.000 0.500
Y1 0.500 0.500 0.500
Se1 0.000 0.500 0.000
Rh1 0.000 0.000 0.000
Se2 0.500 0.000 0.000

=====

Entry 2
First-principles (PBE-GGA) data for a relaxed structure of YRhSe2Br, as listed in Alexandria.

Computed properties:
Space group ... No. 123
Size of the total moment ... 2.46 μB/f.u.
V ... 32.62 Å³ per atom

a = 5.492 Å, b = 5.492 Å, c = 5.408 Å
α = 90.00°, β = 90.00°, γ = 90.00°
Site moments in Bohr magnetons follow the coordinates.
Atoms (fractional coordinates):
Br1 0.000 0.000 0.500  0.04
Se1 0.500 0.000 0.000  0.16
Rh1 0.500 0.500 0.500  1.73
Se2 0.000 0.500 0.000  0.16
Y1 0.000 0.000 0.000  0.00

=====

Which of them is most stable, and which least? Most stable: entry 1; least stable: entry 2.

=====

Entry 1
First-principles (PBE-GGA) data for a relaxed structure of YRhSeBr2, as listed in Alexandria.

Computed properties:
Space group ... No. 123
Size of the total moment ... 2.01 μB/f.u.
V ... 33.54 Å³ per atom

a = 5.486 Å, b = 5.486 Å, c = 5.572 Å
α = 90.00°, β = 90.00°, γ = 90.00°
Site moments in Bohr magnetons follow the coordinates.
Atoms (fractional coordinates):
Se1 0.000 0.000 0.500  0.08
Rh1 0.500 0.500 0.500  1.65
Br1 0.000 0.500 0.000  0.01
Y1 0.000 0.000 0.000  0.00
Br2 0.500 0.000 0.000  0.01

=====

Entry 2
First-principles (PBE-GGA) data for a relaxed structure of YRhSeBr2, as listed in Alexandria.

Computed properties:
Space group ... No. 123
Size of the total moment ... 0.00 μB/f.u.
V ... 24.80 Å³ per atom

a = 4.956 Å, b = 4.956 Å, c = 5.047 Å
α = 90.00°, β = 90.00°, γ = 90.00°
Atoms (fractional coordinates):
Br1 0.000 0.500 0.000
Y1 0.500 0.500 0.500
Br2 0.500 0.000 0.000
Se1 0.000 0.000 0.500
Rh1 0.000 0.000 0.000

=====

Which of them is most stable, and which least? Most stable: entry 2; least stable: entry 1.

=====

Entry 1
First-principles (PBE-GGA) data for a relaxed structure of SiRhBr3, as listed in Alexandria.

Computed properties:
Space group ... No. 221
Size of the total moment ... 0.00 μB/f.u.
V ... 25.55 Å³ per atom

a = 5.036 Å, b = 5.036 Å, c = 5.036 Å
α = 90.00°, β = 90.00°, γ = 90.00°
Atoms (fractional coordinates):
Rh1 0.000 0.000 0.000
Br1 0.500 0.000 0.000
Si1 0.500 0.500 0.500
Br2 0.000 0.000 0.500
Br3 0.000 0.500 0.000

=====

Entry 2
First-principles (PBE-GGA) data for a relaxed structure of SiRhBr3, as listed in Alexandria.

Computed properties:
Space group ... No. 221
Size of the total moment ... 1.81 μB/f.u.
V ... 27.77 Å³ per atom

a = 5.178 Å, b = 5.178 Å, c = 5.178 Å
α = 90.00°, β = 90.00°, γ = 90.00°
Site moments in Bohr magnetons follow the coordinates.
Atoms (fractional coordinates):
Rh1 0.500 0.500 0.500  1.56
Si1 0.000 0.000 0.000  0.01
Br1 0.500 0.000 0.000  0.03
Br2 0.000 0.500 0.000  0.04
Br3 0.000 0.000 0.500  0.02

=====

Which of them is most stable, and which least? Most stable: entry 1; least stable: entry 2.

=====

Entry 1
First-principles (PBE-GGA) data for a relaxed structure of Sm2RhBr, as listed in Alexandria.

Computed properties:
Space group ... No. 160
Size of the total moment ... 0.00 μB/f.u.
V ... 28.06 Å³ per atom

a = 4.065 Å, b = 4.065 Å, c = 8.187 Å
α = 75.62°, β = 75.62°, γ = 60.00°
Atoms (fractional coordinates):
Rh1 0.667 0.667 0.998
Sm1 0.065 0.065 0.804
Sm2 0.270 0.270 0.191
Br1 0.498 0.498 0.507

=====

Entry 2
First-principles (PBE-GGA) data for a relaxed structure of Sm2RhBr, as listed in Alexandria.

Computed properties:
Space group ... No. 166
Size of the total moment ... 0.00 μB/f.u.
V ... 27.91 Å³ per atom

a = 4.074 Å, b = 4.074 Å, c = 8.116 Å
α = 89.99°, β = 104.55°, γ = 119.99°
Atoms (fractional coordinates):
Sm1 0.537 0.268 0.805
Rh1 0.000 0.000 0.000
Br1 0.000 0.500 0.500
Sm2 0.463 0.732 0.195

=====

Which of them is most stable, and which least? Most stable: entry 2; least stable: entry 1.

=====

Entry 1
First-principles (PBE-GGA) data for a relaxed structure of Sn2RhBr, as listed in Alexandria.

Computed properties:
Space group ... No. 122
Size of the total moment ... 0.00 μB/f.u.
V ... 33.26 Å³ per atom

a = 6.593 Å, b = 6.593 Å, c = 7.694 Å
α = 64.63°, β = 64.63°, γ = 90.00°
Atoms (fractional coordinates):
Sn1 0.048 0.625 0.250
Sn2 0.375 0.298 0.750
Br1 0.250 0.750 0.500
Rh1 0.000 0.000 0.000
Br2 0.500 0.500 0.000
Rh2 0.750 0.250 0.500
Sn3 0.702 0.125 0.250
Sn4 0.875 0.952 0.750

=====

Entry 2
First-principles (PBE-GGA) data for a relaxed structure of Sn2RhBr, as listed in Alexandria.

Computed properties:
Space group ... No. 225
Size of the total moment ... 0.00 μB/f.u.
V ... 22.54 Å³ per atom

a = 5.033 Å, b = 5.033 Å, c = 5.033 Å
α = 60.00°, β = 60.00°, γ = 60.00°
Atoms (fractional coordinates):
Br1 0.000 0.000 0.000
Rh1 0.500 0.500 0.500
Sn1 0.250 0.250 0.250
Sn2 0.750 0.750 0.750

=====

Which of them is most stable, and which least? Most stable: entry 1; least stable: entry 2.